[1]
The following is a DFT calculation (PBE) of a geometry-optimized LiZr2In structure.

Output
The crystal system is tetragonal. As for the space group: No. 119. As for the spin magnetization: 0.000 μB per cell. For the volume, the calculation gives 20.91 Å³/atom. For the energy of formation from the pure elements, the calculation gives -0.029 eV per atom.

The structure in extended XYZ format:
```
4
Lattice="5.4650 -0.0010 0.0000 2.0999 5.0454 0.0000 -3.7824 -2.5222 3.0327" Properties=species:S:1:pos:R:3 pbc="T T T"
Zr 1.0499 2.5227 1.5164
Li 2.7325 -0.0005 1.5164
In 3.7824 2.5222 0.0000
Zr 0.0000 0.0000 0.0000
```



[2]
The following is a DFT calculation (PBE) of a geometry-optimized LiZrIn2 structure.

Output
The crystal system is tetragonal. As for the space group: No. 122. As for the spin magnetization: 0.000 μB per cell. For the volume, the calculation gives 21.98 Å³/atom. For the energy of formation from the pure elements, the calculation gives 0.026 eV per atom.

The structure in extended XYZ format:
```
8
Lattice="-3.2398 5.3426 -4.2425 1.4082 -4.0718 -6.2030 -3.6406 -0.7736 -4.9164" Properties=species:S:1:pos:R:3 pbc="T T T"
In -0.5544 -1.8735 -5.7927
Li -0.9158 0.6354 -5.2228
Zr -3.8981 2.6022 -7.1909
In -3.3654 -0.2537 -7.8330
Zr 0.0000 0.0000 0.0000
In -2.6396 2.4398 -4.4997
Li -1.5741 -2.1050 -8.1711
In -4.3851 0.6818 -12.5985
```



[3]
The following is a DFT calculation (PBE) of a geometry-optimized Li3ZrIn4 structure.

Output
The crystal system is orthorhombic. As for the space group: No. 47. As for the spin magnetization: 0.000 μB per cell. For the volume, the calculation gives 20.63 Å³/atom. For the energy of formation from the pure elements, the calculation gives -0.273 eV per atom.

The structure in extended XYZ format:
```
8
Lattice="-1.2127 -1.7073 -2.5986 3.5716 -3.4286 0.5860 -5.9086 -5.1099 6.1146" Properties=species:S:1:pos:R:3 pbc="T T T"
In -2.9543 -2.5550 3.0573
In 0.0000 0.0000 0.0000
In -2.5862 -5.4954 4.8174
Li -5.0158 -4.6671 3.2639
Li -1.7748 -5.1229 2.0510
Li -2.1055 -2.1502 0.2521
Zr 1.1795 -2.5680 -1.0063
In 0.2492 -3.0432 1.8832
```



[4]
The following is a DFT calculation (PBE) of a geometry-optimized LiZr3In4 structure.

Output
The crystal system is tetragonal. As for the space group: No. 123. As for the spin magnetization: 0.000 μB per cell. For the volume, the calculation gives 21.25 Å³/atom. For the energy of formation from the pure elements, the calculation gives -0.310 eV per atom.

The structure in extended XYZ format:
```
8
Lattice="3.2249 0.0000 0.0000 0.0000 3.2249 0.0000 0.0000 0.0000 16.3468" Properties=species:S:1:pos:R:3 pbc="T T T"
In 0.0000 0.0000 1.7313
In 0.0000 0.0000 10.3282
Li 1.6125 1.6125 0.0000
In 0.0000 0.0000 6.0187
In 0.0000 0.0000 14.6155
Zr 1.6125 1.6125 3.8598
Zr 1.6125 1.6125 12.4871
Zr 1.6125 1.6125 8.1734
```



[5]
The following is a DFT calculation (PBE) of a geometry-optimized Li4ZrIn5 structure.

Output
The crystal system is tetragonal. As for the space group: No. 123. As for the spin magnetization: 0.000 μB per cell. For the volume, the calculation gives 20.05 Å³/atom. For the energy of formation from the pure elements, the calculation gives -0.286 eV per atom.

The structure in extended XYZ format:
```
10
Lattice="-1.9486 2.5473 -0.5498 -1.3441 -1.5705 -2.5130 -12.9917 -7.4356 11.5957" Properties=species:S:1:pos:R:3 pbc="T T T"
Li -10.3442 -5.9204 9.2327
Zr 0.0000 0.0000 0.0000
In -5.5209 -1.7292 1.9269
In -3.0892 -0.3374 -0.2436
Li -5.1560 -2.9510 4.6020
In -10.7634 -4.7296 6.6061
Li -2.6475 -1.5153 2.3630
In -8.1422 -3.2294 4.2665
In -13.1952 -6.1214 8.7766
Li -7.8356 -4.4846 6.9937
```



[6]
The following is a DFT calculation (PBE) of a geometry-optimized LiZr2In structure.

Output
The crystal system is tetragonal. As for the space group: No. 139. As for the spin magnetization: 0.000 μB per cell. For the volume, the calculation gives 20.85 Å³/atom. For the energy of formation from the pure elements, the calculation gives -0.073 eV per atom.

The structure in extended XYZ format:
```
4
Lattice="5.3506 0.0008 0.0000 1.7823 5.0450 0.0000 -3.5664 -2.5229 3.0894" Properties=species:S:1:pos:R:3 pbc="T T T"
In 0.8911 2.5225 1.5447
Zr 3.5664 2.5229 0.0000
Zr 0.0000 0.0000 0.0000
Li 2.6753 0.0004 1.5447
```



[7]
The following is a DFT calculation (PBE) of a geometry-optimized LiZr4In structure.

Output
The crystal system is cubic. As for the space group: No. 216. As for the spin magnetization: 0.000 μB per cell. For the volume, the calculation gives 23.22 Å³/atom. For the energy of formation from the pure elements, the calculation gives 0.270 eV per atom.

The structure in extended XYZ format:
```
6
Lattice="-1.3977 -2.2071 5.1998 -5.1322 1.2863 2.4227 -4.1266 -4.0820 0.4143" Properties=species:S:1:pos:R:3 pbc="T T T"
In -7.9924 -3.7520 6.0276
Li 0.0000 0.0000 0.0000
Zr -6.5587 -1.2365 4.2245
Zr -4.0000 -1.8778 3.0167
Zr -4.6969 -2.9782 5.6091
Zr -6.0574 -3.9129 3.2233
```



[8]
The following is a DFT calculation (PBE) of a geometry-optimized LiZr2In4 structure.

Output
The crystal system is cubic. As for the space group: No. 227. As for the spin magnetization: 0.000 μB per cell. For the volume, the calculation gives 22.77 Å³/atom. For the energy of formation from the pure elements, the calculation gives -0.127 eV per atom.

The structure in extended XYZ format:
```
28
Lattice="-3.0508 -7.5312 5.2256 6.2917 -6.7340 2.8985 2.3841 -0.6835 9.3371" Properties=species:S:1:pos:R:3 pbc="T T T"
In -1.0703 -3.7612 2.8849
Zr 3.1519 -6.4144 10.4565
Li 0.7031 -1.8686 2.1827
In 0.3698 -5.9760 9.4640
Li 1.8952 -2.2104 6.8512
In 4.8221 -7.0467 5.3618
In 1.2253 -0.8689 4.6215
In 5.0410 -5.5774 8.3005
In 3.8828 -3.7132 5.8457
In 6.1993 -7.4416 10.7552
Zr 3.8793 -12.2716 11.3701
Zr 4.7069 -12.5088 14.6113
In 2.3235 -9.0012 6.2447
In 2.5651 -3.5518 9.0810
In 3.5156 -9.3430 10.9133
In 0.8028 -7.9020 12.0994
In 3.0599 -11.3969 8.3803
Zr 4.5083 -8.5146 8.2215
Li 3.8490 -5.2356 3.6319
Li -0.8223 -5.6342 4.7955
Zr 2.5229 -10.1713 13.6051
In -0.5743 -7.5072 6.7061
In 2.8758 -3.4245 1.9020
In -0.0633 -4.0499 6.8287
Zr 2.3243 -6.1771 7.2153
Zr 1.2653 -8.7914 9.0293
Zr 5.7659 -9.8946 12.7973
In 1.5872 -6.6055 4.1091
```



[9]
The following is a DFT calculation (PBE) of a geometry-optimized LiZrIn2 structure.

Output
The crystal system is orthorhombic. As for the space group: No. 65. As for the spin magnetization: 0.000 μB per cell. For the volume, the calculation gives 21.55 Å³/atom. For the energy of formation from the pure elements, the calculation gives -0.285 eV per atom.

The structure in extended XYZ format:
```
4
Lattice="7.2283 0.0129 0.0274 -2.9638 4.4998 -0.0193 1.2962 0.8660 2.6506" Properties=species:S:1:pos:R:3 pbc="T T T"
In 4.2623 0.4394 1.3390
Zr 2.1323 2.2564 0.0040
In 0.0000 0.0000 0.0000
Li -0.8338 2.6829 1.3156
```



[10]
The following is a DFT calculation (PBE) of a geometry-optimized LiZrIn2 structure.

Output
The crystal system is tetragonal. As for the space group: No. 119. As for the spin magnetization: 0.002 μB per cell. For the volume, the calculation gives 21.65 Å³/atom. For the energy of formation from the pure elements, the calculation gives -0.098 eV per atom.

The structure in extended XYZ format:
```
4
Lattice="-5.1528 0.6928 -2.1044 -3.2127 -4.5961 0.1211 3.1672 2.7338 3.7357" Properties=species:S:1:pos:R:3 pbc="T T T"
Li -4.1828 -1.9517 -0.9917
In -2.1141 -1.9070 1.4325
Zr -3.0842 0.7374 0.3198
In 0.0000 0.0000 0.0000
```



[11]
The following is a DFT calculation (PBE) of a geometry-optimized LiZr2In structure.

Output
The crystal system is tetragonal. As for the space group: No. 122. As for the spin magnetization: 0.000 μB per cell. For the volume, the calculation gives 21.48 Å³/atom. For the energy of formation from the pure elements, the calculation gives 0.211 eV per atom.

The structure in extended XYZ format:
```
8
Lattice="7.9187 0.0000 0.0000 0.0000 7.9187 0.0000 3.9594 3.9594 2.7407" Properties=species:S:1:pos:R:3 pbc="T T T"
Zr 5.9390 6.0502 2.0555
In 7.9187 3.9594 1.3703
Zr 2.0909 5.9390 0.6852
Zr 5.8278 1.9797 0.6852
In 0.0000 0.0000 0.0000
Li 3.9594 3.9594 0.0000
Li 3.9594 7.9187 1.3703
Zr 9.8984 9.7872 2.0555
```



[12]
The following is a DFT calculation (PBE) of a geometry-optimized LiZr2In structure.

Output
The crystal system is orthorhombic. As for the space group: No. 25. As for the spin magnetization: 0.000 μB per cell. For the volume, the calculation gives 21.61 Å³/atom. For the energy of formation from the pure elements, the calculation gives -0.053 eV per atom.

The structure in extended XYZ format:
```
4
Lattice="3.1686 0.0000 0.0000 0.0000 4.2512 0.0000 0.0000 0.0000 6.4183" Properties=species:S:1:pos:R:3 pbc="T T T"
Li 1.5843 2.1256 4.7218
In 0.0000 0.0000 3.2750
Zr 1.5843 2.1256 1.6049
Zr 0.0000 0.0000 0.0257
```



- Which value of spin magnetization does entry 1 give?
  0.000 μB per cell